[1]
The following is a GGA-PBE calculation of crystalline Nb2AsPRu at its relaxed geometry, from the Alexandria database.

The structure in extended XYZ format:
```
5
Lattice="4.7716 0.0000 0.0000 0.0000 4.7716 0.0000 0.0000 0.0000 4.4876" Properties=species:S:1:pos:R:3 pbc="T T T"
Nb 0.0000 2.3858 0.0000
Nb 2.3858 0.0000 0.0000
As 0.0000 0.0000 0.0000
P 0.0000 0.0000 2.2438
Ru 2.3858 2.3858 2.2438
```

energy relative to the elements = 622.1 kJ/mol of formula units
uncorrected energy = -0.2427 Ha/atom
magnetic moment = 1.11 μB/f.u.



[2]
The following is a GGA-PBE calculation of crystalline Sr2DyGe3Au4 at its relaxed geometry, from the Alexandria database.

The structure in extended XYZ format:
```
10
Lattice="4.4659 0.0000 0.0000 0.0000 4.4659 0.0000 0.0000 0.0000 11.8446" Properties=species:S:1:pos:R:3 pbc="T T T"
Sr 0.0000 2.2330 2.6414
Sr 2.2330 0.0000 9.2032
Dy 0.0000 0.0000 5.9223
Ge 0.0000 2.2330 10.3771
Ge 2.2330 0.0000 1.4675
Ge 2.2330 2.2330 5.9223
Au 0.0000 0.0000 0.0000
Au 0.0000 2.2330 7.7899
Au 2.2330 0.0000 4.0547
Au 2.2330 2.2330 0.0000
```

energy relative to the elements = -574.2 kJ/mol of formula units
uncorrected energy = -0.1502 Ha/atom
magnetic moment = 0.00 μB/f.u.



[3]
The following is a GGA-PBE calculation of crystalline Dy3Ga2H at its relaxed geometry, from the Alexandria database.

The structure in extended XYZ format:
```
12
Lattice="5.5354 -3.0240 0.0000 5.5354 3.0240 0.0000 -1.9172 0.0000 7.8840" Properties=species:S:1:pos:R:3 pbc="T T T"
Dy 4.0975 2.2851 5.9130
Dy 3.2392 0.7542 2.7454
Dy 2.2806 -0.7542 6.6874
Dy 6.8730 0.7542 1.1966
Dy 5.9144 -0.7542 5.1386
Dy 5.0561 -2.2851 1.9710
Ga 1.7236 0.8110 0.0921
Ga 0.7650 -0.8110 4.0340
Ga 8.3885 0.8110 3.8499
Ga 7.4299 -0.8110 7.7919
H 4.0975 0.1573 5.9130
H 5.0561 -0.1573 1.9710
```

uncorrected energy = -0.1604 Ha/atom
magnetic moment = 0.00 μB/f.u.



no.,DOS(E_F) (states/eV/cell)
1,6.51
2,5.11
3,8.97